GGA-PBEsol ZnPtAu, relaxed; crystal system = tetragonal; formation energy = -0.28 eV/atom
1.0
-1.432 1.432 5.479
1.432 -1.432 5.479
1.432 1.432 -5.479
Zn Pt Au
1 1 1
Direct
0.000 0.000 0.000
0.351 0.351 0.000
0.665 0.665 0.000